Compound: NiAs2Pb
Source: the Alexandria database
Functional: PBE
Structure: relaxed

```
NiAs2Pb
1.0
-1.5304 2.7507 4.8842
1.5304 -2.7507 4.8842
1.5304 2.7507 -4.8842
Ni As Pb
1 2 1
Cartesian
0.0000 0.0000 0.0000
1.5304 0.0000 1.8410
0.0000 2.7507 3.0432
0.0000 0.0000 4.8842
```

Calculated values
E, eV/atom: -4.588
Symmetry: No. 71
Formation enthalpy at 0 K, eV per atom: 0.1097